Record 1
Material: AuCl
Method: DFT, PBE-GGA
State: relaxed

Output
- Total moment: 0.00 μB per cell
- Total DFT energy (no corrections): -2.72 eV/atom

```
data_AuCl
_chemical_formula_sum 'Au4 Cl4'
_cell_length_a 3.5622
_cell_length_b 7.4649
_cell_length_c 8.5550
_cell_angle_alpha 90.00
_cell_angle_beta 90.00
_cell_angle_gamma 90.00
_symmetry_space_group_name_H-M 'C m m e'
_symmetry_Int_Tables_number 67
_symmetry_space_group_name_Hall '-C 2a 2'
loop_
_atom_site_label
_atom_site_type_symbol
_atom_site_fract_x
_atom_site_fract_y
_atom_site_fract_z
Au1 Au 0.0000 0.2500 0.1104
Cl1 Cl 0.0000 0.2500 0.6968
```


Record 2
Material: Au3Cl
Method: DFT, PBE-GGA
State: relaxed

Output
- Distance to the lowest polymorph of the same formula: 138 meV/atom
- Total moment: 0.00 μB per cell
- DOS at the Fermi energy: 0.197 states/eV/atom

```
data_Au3Cl
_chemical_formula_sum 'Au3 Cl1'
_cell_length_a 3.4290
_cell_length_b 4.1128
_cell_length_c 6.0010
_cell_angle_alpha 90.00
_cell_angle_beta 90.00
_cell_angle_gamma 90.00
_symmetry_space_group_name_H-M 'P m m 2'
_symmetry_Int_Tables_number 25
_symmetry_space_group_name_Hall 'P 2 -2'
loop_
_atom_site_label
_atom_site_type_symbol
_atom_site_fract_x
_atom_site_fract_y
_atom_site_fract_z
Au1 Au 0.0000 0.0000 0.0000
Au2 Au 0.0000 0.5000 0.3011
Au3 Au 0.5000 0.0000 0.4059
Cl1 Cl 0.5000 0.5000 0.7769
```


Record 3
Material: Au2Cl
Method: DFT, PBE-GGA
State: relaxed

Output
- Distance to the lowest polymorph of the same formula: 147 meV/atom
- Total moment: 0.00 μB per cell
- DOS at the Fermi energy: 0.091 states/eV/atom

```
data_Au2Cl
_chemical_formula_sum 'Au2 Cl1'
_cell_length_a 3.4082
_cell_length_b 3.4082
_cell_length_c 5.9887
_cell_angle_alpha 90.00
_cell_angle_beta 90.00
_cell_angle_gamma 120.00
_symmetry_space_group_name_H-M 'P -3 m 1'
_symmetry_Int_Tables_number 164
_symmetry_space_group_name_Hall '-P 3 2"'
loop_
_atom_site_label
_atom_site_type_symbol
_atom_site_fract_x
_atom_site_fract_y
_atom_site_fract_z
Au1 Au 0.3333 0.6667 0.1618
Cl1 Cl 0.0000 0.0000 0.5000
```